First-principles (PBE) data for a geometry-optimized Co2RuCl structure, as listed in Alexandria via LeMat-Bulk.

Unit cell a=7.9637 b=7.9637 c=7.9637 alpha=20.26 beta=20.26 gamma=20.26
Last column: magnetic moment on the atom in μB.
Sites, in units of the cell vectors:
Ru  0.2500  0.2500  0.2500  0.14
Co  0.0021  0.0021  0.0021  1.65
Co  0.4979  0.4979  0.4979  1.65
Cl  0.7500  0.7500  0.7500  0.13

Calculated values
The volume comes out at 52.97 Å³/cell. As for the calculated total energy: -23.75 eV/cell. For the mass density, the calculation gives 7.97 Mg/m³. For the density of states at the Fermi level, the calculation gives 4.939 states/eV per cell. For the uncorrected formation energy, the calculation gives 38.3 kJ per mole of atoms. The value obtained for the spin magnetization is 3.5 Bohr magnetons per cell. Its space-group type is No. 166. The crystal system is trigonal.

=====

First-principles (PBE) data for a geometry-optimized Ag2TeIr structure, as listed in Alexandria via LeMat-Bulk.

Unit cell a=5.1535 b=3.3302 c=4.5137 alpha=89.58 beta=90.00 gamma=90.00
Sites, in units of the cell vectors:
Ir  0.5000  0.2500  0.2500
Te  0.5000  0.7500  0.7500
Ag  0.0000  0.9996  0.0069
Ag  0.0000  0.5004  0.4931

Calculated values
The volume comes out at 77.46 Å³/cell. As for the calculated total energy: -16.14 eV/cell. For the mass density, the calculation gives 11.48 Mg/m³. For the density of states at the Fermi level, the calculation gives 1.545 states/eV per cell. For the uncorrected formation energy, the calculation gives 37.7 kJ per mole of atoms. The value obtained for the spin magnetization is 0.0 Bohr magnetons per cell. Its space-group type is No. 10. The crystal system is monoclinic.

=====

First-principles (PBE) data for a geometry-optimized AcAl2SiPd structure, as listed in Alexandria via LeMat-Bulk.

Unit cell a=4.4069 b=4.2375 c=6.2754 alpha=109.73 beta=110.56 gamma=90.00
Sites, in units of the cell vectors:
Ac  0.4388  0.4388  0.8776
Al  0.6922  0.1922  0.3843
Al  0.0609  0.0609  0.1218
Si  0.8241  0.8241  0.6483
Pd  0.1962  0.6962  0.3923

Calculated values
The volume comes out at 102.35 Å³/cell. As for the calculated total energy: -25.60 eV/cell. For the mass density, the calculation gives 6.74 Mg/m³. For the density of states at the Fermi level, the calculation gives 1.063 states/eV per cell. For the uncorrected formation energy, the calculation gives -65.4 kJ per mole of atoms. The value obtained for the spin magnetization is 0.0 Bohr magnetons per cell. Its space-group type is No. 44. The crystal system is orthorhombic.

=====

First-principles (PBE) data for a geometry-optimized Tb4Sm2Er2Mg structure, as listed in Alexandria via LeMat-Bulk.

Unit cell a=6.4564 b=8.4289 c=7.4438 alpha=132.55 beta=105.52 gamma=79.71
Sites, in units of the cell vectors:
Tb  0.6345  0.8128  0.0326
Tb  0.6648  0.7949  0.4921
Tb  0.3655  0.1872  0.9674
Tb  0.3352  0.2051  0.5079
Sm  0.2072  0.6354  0.5216
Sm  0.7928  0.3646  0.4784
Er  0.8194  0.3332  0.9320
Er  0.1806  0.6667  0.0680
Mg  0.0000  0.0000  0.0000

Calculated values
The volume comes out at 287.55 Å³/cell. As for the calculated total energy: -37.79 eV/cell. For the mass density, the calculation gives 7.48 Mg/m³. For the density of states at the Fermi level, the calculation gives 9.434 states/eV per cell. For the formation energy from the elements, the calculation gives 99 meV/atom. The value obtained for the spin magnetization is 0.0 Bohr magnetons per cell. Its space-group type is No. 2. The crystal system is triclinic.

=====

First-principles (PBE) data for a geometry-optimized U2FeOs3 structure, as listed in Alexandria via LeMat-Bulk.

Unit cell a=5.4366 b=5.4366 c=7.9498 alpha=90.00 beta=90.00 gamma=120.00
Last column: magnetic moment on the atom in μB.
Sites, in units of the cell vectors:
U  0.6667  0.3333  0.4168  -1.07
U  0.3333  0.6667  0.5832  -1.07
U  0.3333  0.6667  0.9168  -1.07
U  0.6667  0.3333  0.0832  -1.07
Fe  0.0000  0.0000  0.5000  1.81
Fe  0.0000  0.0000  0.0000  1.81
Os  0.1690  0.3380  0.2500  0.05
Os  0.3380  0.1690  0.7500  0.05
Os  0.8310  0.6620  0.7500  0.05
Os  0.1690  0.8310  0.2500  0.05
Os  0.8310  0.1690  0.7500  0.05
Os  0.6620  0.8310  0.2500  0.05

Calculated values
The volume comes out at 203.49 Å³/cell. As for the calculated total energy: -130.84 eV/cell. For the mass density, the calculation gives 17.99 Mg/m³. For the density of states at the Fermi level, the calculation gives 20.578 states/eV per cell. For the formation energy from the elements, the calculation gives -115 meV/atom. The value obtained for the spin magnetization is 0.7 Bohr magnetons per cell. Its space-group type is No. 194. The crystal system is hexagonal.

=====

First-principles (PBE) data for a geometry-optimized Sc5Sb2H2 structure, as listed in Alexandria via LeMat-Bulk.

Unit cell a=3.8678 b=5.8740 c=7.6917 alpha=82.16 beta=90.00 gamma=109.22
Sites, in units of the cell vectors:
Sc  0.2850  0.5700  0.1535
Sc  0.7150  0.4300  0.8465
Sc  0.1332  0.2664  0.5527
Sc  0.8668  0.7336  0.4473
Sc  0.0000  0.0000  0.0000
Sb  0.4267  0.8533  0.7410
Sb  0.5733  0.1467  0.2590
H  0.1509  0.3018  0.8198
H  0.8491  0.6982  0.1802

Calculated values
The volume comes out at 163.28 Å³/cell. As for the calculated total energy: -52.13 eV/cell. For the mass density, the calculation gives 4.78 Mg/m³. For the density of states at the Fermi level, the calculation gives 7.522 states/eV per cell. The value obtained for the spin magnetization is 0.0 Bohr magnetons per cell. Its space-group type is No. 12. The crystal system is monoclinic.

=====

First-principles (PBE) data for a geometry-optimized Sr6Ca12Nd structure, as listed in Alexandria via LeMat-Bulk.

Unit cell a=9.8616 b=9.8616 c=9.8616 alpha=101.17 beta=101.17 gamma=101.17
Last column: magnetic moment on the atom in μB.
Sites, in units of the cell vectors:
Sr  0.1581  0.1585  0.4214  0.01
Sr  0.8415  0.5786  0.8419  0.01
Sr  0.5786  0.8419  0.8415  0.01
Sr  0.8419  0.8415  0.5786  0.01
Sr  0.1585  0.4214  0.1581  0.01
Sr  0.4214  0.1581  0.1585  0.01
Ca  0.5978  0.1791  0.5983  0.01
Ca  0.1791  0.5983  0.5978  0.01
Ca  0.5983  0.5978  0.1791  0.01
Ca  0.4022  0.8209  0.4017  0.01
Ca  0.8209  0.4017  0.4022  0.01
Ca  0.4017  0.4022  0.8209  0.01
Ca  0.2573  0.0003  0.7428  0.01
Ca  0.2572  0.7427  0.9997  0.01
Ca  0.9997  0.2572  0.7427  0.01
Ca  0.7427  0.9997  0.2572  0.01
Ca  0.7428  0.2573  0.0003  0.01
Ca  0.0003  0.7428  0.2573  0.01
Nd  0.0000  0.0000  0.0000  0.24

Calculated values
The volume comes out at 896.02 Å³/cell. As for the calculated total energy: -36.92 eV/cell. For the mass density, the calculation gives 2.13 Mg/m³. For the density of states at the Fermi level, the calculation gives 27.142 states/eV per cell. For the formation energy from the elements, the calculation gives 103 meV/atom. The value obtained for the spin magnetization is 1.4 Bohr magnetons per cell. Its space-group type is No. 166. The crystal system is trigonal.

=====

First-principles (PBE) data for a geometry-optimized InPb2Se2 structure, as listed in Alexandria via LeMat-Bulk.

Unit cell a=8.4266 b=8.4266 c=4.0574 alpha=90.00 beta=90.00 gamma=90.00
Sites, in units of the cell vectors:
Pb  0.3547  0.8547  0.0000
Pb  0.8547  0.6453  0.0000
Pb  0.6453  0.1453  0.0000
Pb  0.1453  0.3547  0.0000
Se  0.1663  0.6663  0.5000
Se  0.6663  0.8337  0.5000
Se  0.8337  0.3337  0.5000
Se  0.3337  0.1663  0.5000
In  0.0000  0.0000  0.0000
In  0.5000  0.5000  0.0000

Calculated values
The volume comes out at 288.11 Å³/cell. As for the calculated total energy: -36.37 eV/cell. For the mass density, the calculation gives 7.92 Mg/m³. For the density of states at the Fermi level, the calculation gives 4.818 states/eV per cell. For the uncorrected formation energy, the calculation gives -20.5 kJ per mole of atoms. The value obtained for the spin magnetization is 0.0 Bohr magnetons per cell. Its space-group type is No. 127. The crystal system is tetragonal.

=====

First-principles (PBE) data for a geometry-optimized Y3TmZn structure, as listed in Alexandria via LeMat-Bulk.

Unit cell a=3.6244 b=5.3704 c=14.6122 alpha=89.93 beta=97.12 gamma=90.00
Sites, in units of the cell vectors:
Y  0.0449  0.2522  0.0897
Y  0.9551  0.7478  0.9103
Y  0.3404  0.7490  0.6808
Y  0.6596  0.2510  0.3192
Y  0.1245  0.7514  0.2490
Y  0.8755  0.2486  0.7510
Tm  0.7324  0.7502  0.4649
Tm  0.2676  0.2498  0.5351
Zn  0.5403  0.7541  0.0806
Zn  0.4597  0.2459  0.9194

Calculated values
The volume comes out at 282.22 Å³/cell. As for the calculated total energy: -51.60 eV/cell. For the mass density, the calculation gives 5.90 Mg/m³. For the density of states at the Fermi level, the calculation gives 12.017 states/eV per cell. For the formation energy from the elements, the calculation gives -133 meV/atom. The value obtained for the spin magnetization is 0.0 Bohr magnetons per cell. Its space-group type is No. 12. The crystal system is monoclinic.

=====

First-principles (PBE) data for a geometry-optimized CsAgAuSe2 structure, as listed in Alexandria via LeMat-Bulk.

Unit cell a=7.1486 b=6.8353 c=7.2096 alpha=118.30 beta=90.00 gamma=90.00
Sites, in units of the cell vectors:
Cs  0.2484  0.7500  0.5000
Cs  0.7516  0.2500  0.5000
Ag  0.5000  0.7500  0.0000
Ag  0.5000  0.2500  0.0000
Au  0.0000  0.0000  0.0000
Au  0.0000  0.5000  0.0000
Se  0.7163  0.8930  0.7859
Se  0.7163  0.6070  0.2141
Se  0.2837  0.3930  0.7859
Se  0.2837  0.1070  0.2141

Calculated values
The volume comes out at 310.19 Å³/cell. As for the calculated total energy: -32.39 eV/cell. For the mass density, the calculation gives 6.38 Mg/m³. For the density of states at the Fermi level, the calculation gives 6.244 states/eV per cell. For the uncorrected formation energy, the calculation gives -43.3 kJ per mole of atoms. The value obtained for the spin magnetization is 0.0 Bohr magnetons per cell. Its space-group type is No. 67. The crystal system is orthorhombic.

=====

First-principles (PBE) data for a geometry-optimized KPr3Ru structure, as listed in Alexandria via LeMat-Bulk.

Unit cell a=5.7085 b=5.7085 c=5.7085 alpha=90.00 beta=90.00 gamma=90.00
Sites, in units of the cell vectors:
Pr  0.0000  0.5000  0.0000
Pr  0.0000  0.0000  0.5000
Pr  0.5000  0.0000  0.0000
Ru  0.0000  0.0000  0.0000
K  0.5000  0.5000  0.5000

Calculated values
The volume comes out at 186.03 Å³/cell. As for the calculated total energy: -24.22 eV/cell. For the mass density, the calculation gives 5.02 Mg/m³. For the density of states at the Fermi level, the calculation gives 4.207 states/eV per cell. For the formation energy from the elements, the calculation gives 97 meV/atom. The value obtained for the spin magnetization is 0.0 Bohr magnetons per cell. Its space-group type is No. 221. The crystal system is cubic.

=====

First-principles (PBE) data for a geometry-optimized YTm5Zn4 structure, as listed in Alexandria via LeMat-Bulk.

Unit cell a=3.5258 b=3.5258 c=19.1619 alpha=90.00 beta=90.00 gamma=90.00
Sites, in units of the cell vectors:
Y  0.0000  0.0000  0.0000
Tm  0.5000  0.5000  0.1344
Tm  0.5000  0.5000  0.3172
Tm  0.5000  0.5000  0.5000
Tm  0.5000  0.5000  0.6828
Tm  0.5000  0.5000  0.8656
Zn  0.0000  0.0000  0.2253
Zn  0.0000  0.0000  0.4072
Zn  0.0000  0.0000  0.5928
Zn  0.0000  0.0000  0.7747

Calculated values
The volume comes out at 238.21 Å³/cell. As for the calculated total energy: -36.70 eV/cell. For the mass density, the calculation gives 8.33 Mg/m³. For the density of states at the Fermi level, the calculation gives 10.626 states/eV per cell. For the formation energy from the elements, the calculation gives -278 meV/atom. The value obtained for the spin magnetization is 0.0 Bohr magnetons per cell. Its space-group type is No. 123. The crystal system is tetragonal.